1.
Below is a geometry-optimized Ho2ThRh3 structure, with properties calculated at the PBE level.

## Properties
**Mass density**: 11.11 g cm⁻³
**Energy above the lowest structure with this stoichiometry**: 40 meV/atom

Geometry as POSCAR:
```
Ho2ThRh3
1.0
-2.497 3.540 3.547
2.973 -3.164 5.251
5.893 3.187 -3.452
Ho Rh Th
4 6 2
direct
0.219 0.356 0.644 Ho
0.575 0.144 0.356 Ho
0.781 0.644 0.356 Ho
0.425 0.856 0.644 Ho
0.258 0.509 0.318 Rh
0.940 0.991 0.682 Rh
0.610 0.750 0.000 Rh
0.390 0.250 0.000 Rh
0.742 0.491 0.682 Rh
0.060 0.009 0.318 Rh
0.872 0.250 0.000 Th
0.128 0.750 0.000 Th
```

=====

2.
Below is a geometry-optimized HoTh3Rh4 structure, with properties calculated at the PBE level.

## Properties
**DFT total energy**: -7.886 eV/atom
**Mass density**: 11.09 g cm⁻³

Geometry as POSCAR:
```
HoTh3Rh4
1.0
4.047 -0.050 0.069
0.052 6.784 1.978
-0.114 0.391 7.055
Th Rh Ho
3 4 1
direct
0.500 0.000 0.500 Th
0.000 0.500 0.500 Th
0.000 0.000 0.000 Th
0.500 0.250 0.749 Rh
0.000 0.248 0.252 Rh
0.000 0.752 0.748 Rh
0.500 0.751 0.250 Rh
0.500 0.500 0.000 Ho
```

=====

Number 1: magnetic moment 0.00 μB per formula unit. Number 2: magnetic moment 0.00 μB per formula unit.